Entry from Alexandria: crystalline MnTl2CuF6 at its relaxed geometry (PBE+U).

```
data_MnTl2CuF6
_chemical_formula_sum 'Mn2 Tl4 Cu2 F12'
_space_group_name_H-M_alt 'I 4/m m m'
_space_group_IT_number 139
_space_group_name_Hall '-I 4 2'
_cell_length_a 5.843
_cell_length_b 5.843
_cell_length_c 9.199
_cell_angle_alpha 90.00
_cell_angle_beta 90.00
_cell_angle_gamma 90.00
loop_
_atom_site_label
_atom_site_type_symbol
_atom_site_fract_x
_atom_site_fract_y
_atom_site_fract_z
_atom_site_occupancy
Mn1 Mn 0.000 0.000 0.000 1
Tl1 Tl 0.000 0.500 0.250 1
Cu1 Cu 0.000 0.000 0.500 1
F1 F 0.000 0.000 0.226 1
F2 F 0.236 0.236 0.500 1
```

Results
* final energy: -0.34803 Ry/atom